(1)
Computed, not measured: KTl2Hg2 at its PBEsol-relaxed geometry at the SCAN level of DFT.

```
KTl2Hg2
1.0
3.497 0.000 0.000
0.000 9.021 0.000
0.000 0.000 9.021
K Hg Tl
2 4 4
Direct
0.000 0.500 0.500 K
0.000 0.000 0.000 K
0.500 0.160 0.660 Hg
0.500 0.840 0.340 Hg
0.500 0.340 0.160 Hg
0.500 0.660 0.840 Hg
0.000 0.365 0.865 Tl
0.000 0.865 0.635 Tl
0.000 0.635 0.135 Tl
0.000 0.135 0.365 Tl
```

Density: 9.909 g/cm³
SG: P4/mbm
D(E_F): 2.160 states/eV/f.u.
Energy relative to the elements: -0.149 eV/atom
Energy relative to the lowest polymorph listed for this composition: 22 meV/atom


(2)
Computed, not measured: KTl2Hg2 at its PBEsol-relaxed geometry at the SCAN level of DFT.

```
KTl2Hg2
1.0
-1.650 -3.875 -3.501
3.164 -3.663 2.563
-4.774 2.560 3.700
Tl Hg K
2 2 1
Direct
0.360 0.360 0.719 Tl
0.640 0.640 0.281 Tl
0.750 0.250 0.500 Hg
0.250 0.750 0.500 Hg
0.000 0.000 0.000 K
```

Density: 8.877 g/cm³
SG: I4/mmm
D(E_F): 1.993 states/eV/f.u.
Energy relative to the elements: -0.172 eV/atom
Energy relative to the lowest polymorph listed for this composition: 0 meV/atom


D(E_F) of number 2 (KTl2Hg2)? 1.993 states/eV/f.u.